DFT (GGA+U) results for an optimized crystal structure of TiMoI2O.

## Properties
For the calculated density, the calculation gives 5.36 g cm⁻³. Its space group is No. 123. The calculation puts the energy at -26.153 eV for the cell shown. Its excess energy over the best structure of this formula in the dataset is 0.000 eV/atom. The value obtained for the calculated volume is 128.1 Å³/cell. Its density of states at the Fermi level is 0.28 states/eV per atom.

POSCAR file:
```
TiMoI2O
1.0
5.8249 0.0000 0.0000
0.0000 5.8249 0.0000
0.0000 0.0000 3.7762
I Mo O Ti
2 1 1 1
Cartesian
0.0000 2.9125 0.0000 I
2.9125 0.0000 0.0000 I
2.9125 2.9125 1.8881 Mo
0.0000 0.0000 1.8881 O
0.0000 0.0000 0.0000 Ti
```